1.
# ErMgAsO

Crystalline ErMgAsO at its relaxed geometry (GGA-PBE, the Open Quantum Materials Database).

Cell: 3.794 6.196 6.578 Å, 90.00 90.00 90.00°
Positions (direct):
1 Er 0.500 0.465 0.107
2 O 0.500 0.743 0.878
3 Er 0.500 0.535 0.607
4 As 0.000 0.726 0.335
5 O 0.500 0.257 0.378
6 Mg 0.000 0.866 0.934
7 As 0.000 0.274 0.835
8 Mg 0.000 0.134 0.434

Properties
Polymorph energy (0 for the lowest one)   0.25 eV per formula unit
E   -5.820 eV/atom
Calculated volume   19.33 A^3/atom


2.
# Er6MoAs2

Crystalline Er6MoAs2 at its relaxed geometry (GGA-PBE, the Open Quantum Materials Database).

Cell: 7.794 7.794 4.257 Å, 90.00 90.00 120.00°
Positions (direct):
1 Er 0.595 0.595 0.000
2 Er 0.248 0.248 0.500
3 As 0.667 0.333 0.500
4 As 0.333 0.667 0.500
5 Er 0.000 0.752 0.500
6 Er 0.752 0.000 0.500
7 Mo 0.000 0.000 0.000
8 Er 0.405 0.000 0.000
9 Er 0.000 0.405 0.000

Properties
E   -5.893 eV/atom
Calculated volume   24.89 A^3/atom


3.
# ErMo6As2

Crystalline ErMo6As2 at its relaxed geometry (GGA-PBE, the Open Quantum Materials Database).

Cell: 5.504 5.504 8.460 Å, 123.00 123.00 46.30°
Positions (direct):
1 As 0.564 0.564 0.252
2 Mo 0.225 0.225 0.893
3 Mo 0.775 0.775 0.107
4 As 0.436 0.436 0.748
5 Mo 0.894 0.894 0.558
6 Er 0.000 0.000 0.000
7 Mo 0.340 0.340 0.341
8 Mo 0.106 0.106 0.442
9 Mo 0.660 0.660 0.659

Properties
E   -8.717 eV/atom
Calculated volume   16.59 A^3/atom


4.
# ErMoAs

Crystalline ErMoAs at its relaxed geometry (GGA-PBE, the Open Quantum Materials Database).

Cell: 4.464 4.464 4.464 Å, 60.00 60.00 60.00°
Positions (direct):
1 Mo 0.750 0.750 0.750
2 As 0.000 0.000 0.000
3 Er 0.250 0.250 0.250

Properties
E   -6.814 eV/atom
Calculated volume   20.97 A^3/atom


5.
# Er3AsN2

Crystalline Er3AsN2 at its relaxed geometry (GGA-PBE, the Open Quantum Materials Database).

Cell: 3.538 3.538 9.288 Å, 90.00 90.00 120.00°
Positions (direct):
1 Er 0.333 0.667 0.711
2 Er 0.667 0.333 0.289
3 N 0.333 0.667 0.150
4 As 0.000 0.000 0.500
5 Er 0.000 0.000 0.000
6 N 0.667 0.333 0.850

Properties
E   -7.365 eV/atom
Calculated volume   16.78 A^3/atom


6.
# Er2NbAs3

Crystalline Er2NbAs3 at its relaxed geometry (GGA-PBE, the Open Quantum Materials Database).

Cell: 3.942 3.942 9.646 Å, 90.00 90.00 120.00°
Positions (direct):
1 As 0.000 0.000 0.000
2 As 0.667 0.333 0.649
3 As 0.333 0.667 0.351
4 Nb 0.000 0.000 0.500
5 Er 0.333 0.667 0.823
6 Er 0.667 0.333 0.177

Properties
E   -6.631 eV/atom
Calculated volume   21.63 A^3/atom


7.
# Nd2ErAs3

Crystalline Nd2ErAs3 at its relaxed geometry (GGA-PBE, the Open Quantum Materials Database).

Cell: 4.207 4.207 10.294 Å, 90.00 90.00 120.00°
Positions (direct):
1 Nd 0.333 0.667 0.828
2 Er 0.000 0.000 0.500
3 As 0.667 0.333 0.656
4 As 0.000 0.000 0.000
5 Nd 0.667 0.333 0.172
6 As 0.333 0.667 0.344

Properties
E   -6.181 eV/atom
Calculated volume   26.30 A^3/atom


8.
# NdEr2As3

Crystalline NdEr2As3 at its relaxed geometry (GGA-PBE, the Open Quantum Materials Database).

Cell: 4.143 4.143 10.137 Å, 90.00 90.00 120.00°
Positions (direct):
1 As 0.000 0.000 0.000
2 Nd 0.000 0.000 0.500
3 As 0.667 0.333 0.677
4 Er 0.333 0.667 0.838
5 Er 0.667 0.333 0.162
6 As 0.333 0.667 0.323

Properties
E   -6.149 eV/atom
Calculated volume   25.11 A^3/atom


9.
# NdErAs

Crystalline NdErAs at its relaxed geometry (GGA-PBE, the Open Quantum Materials Database).

Cell: 4.882 4.882 4.882 Å, 60.00 60.00 60.00°
Positions (direct):
1 As 0.000 0.000 0.000
2 Er 0.250 0.250 0.250
3 Nd 0.750 0.750 0.750

Properties
E   -5.412 eV/atom
Calculated volume   27.43 A^3/atom


10.
# NdErZn2As2O2

Crystalline NdErZn2As2O2 at its relaxed geometry (GGA-PBE, the Open Quantum Materials Database).

Cell: 3.987 3.987 8.949 Å, 90.00 90.00 90.00°
Positions (direct):
1 As 0.000 0.000 0.681
2 Zn 0.000 0.500 0.498
3 O 0.000 0.500 0.008
4 As 0.500 0.500 0.319
5 Er 0.000 0.000 0.120
6 Nd 0.500 0.500 0.868
7 O 0.500 0.000 0.008
8 Zn 0.500 0.000 0.498

Properties
E   -5.690 eV/atom
Calculated volume   17.78 A^3/atom


11.
# NdErAs2Pt2

Crystalline NdErAs2Pt2 at its relaxed geometry (GGA-PBE, the Open Quantum Materials Database).

Cell: 4.317 4.317 15.482 Å, 90.00 90.00 120.00°
Positions (direct):
1 As 0.667 0.333 0.880
2 Nd 0.000 0.000 0.000
3 As 0.667 0.333 0.620
4 Pt 0.667 0.333 0.357
5 As 0.333 0.667 0.120
6 Pt 0.667 0.333 0.143
7 Er 0.000 0.000 0.750
8 Nd 0.000 0.000 0.500
9 Pt 0.333 0.667 0.643
10 Pt 0.333 0.667 0.857
11 Er 0.000 0.000 0.250
12 As 0.333 0.667 0.380

Properties
Polymorph energy (0 for the lowest one)   0.00 eV per formula unit
E   -6.375 eV/atom
Calculated volume   20.82 A^3/atom


12.
# ErNiAs

Crystalline ErNiAs at its relaxed geometry (GGA-PBE, the Open Quantum Materials Database).

Cell: 4.046 4.046 15.108 Å, 90.00 90.00 120.00°
Positions (direct):
1 Er 0.000 0.000 0.000
2 As 0.667 0.333 0.620
3 Er 0.000 0.000 0.750
4 Er 0.000 0.000 0.500
5 As 0.333 0.667 0.380
6 As 0.667 0.333 0.880
7 Ni 0.667 0.333 0.135
8 Ni 0.333 0.667 0.635
9 Ni 0.667 0.333 0.365
10 Er 0.000 0.000 0.250
11 As 0.333 0.667 0.120
12 Ni 0.333 0.667 0.865

Properties
E   -5.987 eV/atom
Calculated volume   17.85 A^3/atom